# Be2CoReMo

A geometry-optimized Be2CoReMo structure (PBE, Alexandria).

Unit cell a=4.2096 b=4.2096 c=4.6982 alpha=90.00 beta=90.00 gamma=90.00
Closest atoms and distances in Å follow each position.
Fractional coordinates of all 5 atoms:
Be 0.0000 0.5000 0.0000  2 Mo 2.10
Be 0.5000 0.0000 0.0000  2 Mo 2.10
Co 0.0000 0.0000 0.5000  4 Re 2.98, 8 Be 3.15
Re 0.5000 0.5000 0.5000  2 Mo 2.35
Mo 0.5000 0.5000 0.0000  4 Be 2.10, 2 Re 2.35

Space-group type: P4/mmm
Formation enthalpy at 0 K: 1806 meV per atom
Total magnetic moment: 0.512 μB per atom
DOS(E_F): 1.3671 states/eV/atom

***

# CuW2

A geometry-optimized CuW2 structure (PBE, Alexandria).

Unit cell a=5.3747 b=4.3244 c=7.7056 alpha=90.00 beta=90.00 gamma=90.00
Closest atoms and distances in Å follow each position.
Fractional coordinates of all 12 atoms:
Cu 0.1932 0.2500 0.0828  8 W 2.57-2.79
Cu 0.3068 0.7500 0.5828  8 W 2.57-2.79
Cu 0.6932 0.2500 0.4172  8 W 2.57-2.79
Cu 0.8068 0.7500 0.9172  8 W 2.57-2.79
W 0.0166 0.2500 0.7418  7 W 2.67-2.99, 5 Cu 2.79-2.93
W 0.1908 0.2500 0.4167  5 Cu 2.57-2.70, 3 W 2.67-2.72
W 0.3092 0.7500 0.9167  5 Cu 2.57-2.70, 3 W 2.67-2.72
W 0.4834 0.7500 0.2418  7 W 2.67-2.99, 5 Cu 2.79-2.93
W 0.5166 0.2500 0.7582  7 W 2.67-2.99, 5 Cu 2.79-2.93
W 0.6908 0.2500 0.0833  5 Cu 2.57-2.70, 3 W 2.67-2.72
W 0.8092 0.7500 0.5833  5 Cu 2.57-2.70, 3 W 2.67-2.72
W 0.9834 0.7500 0.2582  7 W 2.67-2.99, 5 Cu 2.79-2.93

Space-group type: Pnma
Energy relative to the lowest polymorph listed for this composition: 33.5 meV/atom
Formation enthalpy at 0 K: 344 meV per atom
Total magnetic moment: 0.000 μB per atom
DOS(E_F): 0.5170 states/eV/atom

***

# YBeIn

A geometry-optimized YBeIn structure (PBE, Alexandria).

Unit cell a=7.1467 b=7.1467 c=4.9295 alpha=98.51 beta=98.51 gamma=31.81
Closest atoms and distances in Å follow each position.
Fractional coordinates of all 6 atoms:
Y 0.0000 0.0000 0.0000  3 Be 2.72-2.86
Y 0.7241 0.7241 0.1081  4 Be 2.74-2.93
Be 0.3479 0.3479 0.8815  2 Be 2.23
Be 0.8228 0.8228 0.6665  2 Be 2.23
In 0.1706 0.1706 0.5802  3 Be 2.65-2.85
In 0.4145 0.4145 0.4332  4 Be 2.52-2.73

Space-group type: Cm
Energy relative to the lowest polymorph listed for this composition: 133.8 meV/atom
Formation enthalpy at 0 K: -134 meV per atom
Total magnetic moment: 0.000 μB per atom
DOS(E_F): 0.6889 states/eV/atom

***

# CaNdHo2S4

A geometry-optimized CaNdHo2S4 structure (PBE, Alexandria).

Unit cell a=6.8707 b=3.9401 c=6.8853 alpha=90.00 beta=109.08 gamma=90.00
Closest atoms and distances in Å follow each position.
Fractional coordinates of all 8 atoms:
Ca 0.0000 0.0000 0.0000  6 S 2.82-2.83
Nd 0.0000 0.5000 0.5000  6 S 2.86-2.87
Ho 0.5000 0.0000 0.5000  6 S 2.78-2.79
Ho 0.5000 0.5000 0.0000  6 S 2.74
S 0.2602 0.5000 0.2490  3 Ho 2.74-2.78, 2 Ca 2.83, 1 Nd 2.86
S 0.2627 0.0000 0.7596  3 Ho 2.74-2.79, 1 Ca 2.82, 2 Nd 2.87
S 0.7373 0.0000 0.2404  3 Ho 2.74-2.79, 1 Ca 2.82, 2 Nd 2.87
S 0.7398 0.5000 0.7510  3 Ho 2.74-2.78, 2 Ca 2.83, 1 Nd 2.86

Space-group type: P2/m
Energy relative to the elements, uncorrected: -2.02 eV/atom
Total magnetic moment: 0.000 μB per atom
DOS(E_F): 0.3378 states/eV/atom

***

# SrCSe2

A geometry-optimized SrCSe2 structure (PBE, Alexandria).

Unit cell a=6.2866 b=6.2866 c=6.2866 alpha=112.82 beta=112.82 gamma=102.97
Closest atoms and distances in Å follow each position.
Fractional coordinates of all 8 atoms:
Sr 0.0000 0.0000 0.0000  8 Se 3.22-3.54
Sr 0.7500 0.2500 0.5000  8 Se 3.22-3.54
C 0.2500 0.7500 0.5000  4 Se 2.21
C 0.5000 0.5000 0.0000  4 Se 2.21
Se 0.2380 0.6250 0.1130  2 C 2.21
Se 0.3750 0.4880 0.6130  2 C 2.21
Se 0.5120 0.1250 0.8870  2 C 2.21
Se 0.8750 0.7620 0.3870  2 C 2.21

Space-group type: I-42d
Energy relative to the elements, uncorrected: 0.18 eV/atom
Total magnetic moment: 0.000 μB per atom
DOS(E_F): 0.0099 states/eV/atom

***

# Ca2SiHPt6

A geometry-optimized Ca2SiHPt6 structure (PBE, Alexandria).

Unit cell a=5.6881 b=5.6881 c=6.7589 alpha=114.69 beta=114.69 gamma=59.98
Closest atoms and distances in Å follow each position.
Fractional coordinates of all 10 atoms:
Ca 0.2166 0.2166 0.1489  9 Pt 2.99-3.17
Ca 0.7834 0.7834 0.8511  9 Pt 2.99-3.17
Si 0.5000 0.5000 0.0000  6 Pt 2.42-2.43
H 0.0000 0.0000 0.5000  6 Pt 2.03
Pt 0.2341 0.7257 0.6944  1 H 2.03
Pt 0.2346 0.2346 0.6941  1 H 2.03
Pt 0.2743 0.7659 0.3056  1 H 2.03
Pt 0.7257 0.2341 0.6944  1 H 2.03
Pt 0.7654 0.7654 0.3059  1 H 2.03
Pt 0.7659 0.2743 0.3056  1 H 2.03

Space-group type: C2/m
Total magnetic moment: 0.000 μB per atom
DOS(E_F): 0.2253 states/eV/atom
VASP energy: -5.63 eV/atom

***

# ScBeNi

A geometry-optimized ScBeNi structure (PBE, Alexandria).

Unit cell a=4.0601 b=4.0601 c=4.0601 alpha=60.00 beta=60.00 gamma=60.00
Closest atoms and distances in Å follow each position.
Fractional coordinates of all 3 atoms:
Sc 0.0000 0.0000 0.0000  4 Ni 2.49
Be 0.5000 0.5000 0.5000  4 Ni 2.49
Ni 0.2500 0.2500 0.2500  4 Be 2.49, 4 Sc 2.49

Space-group type: F-43m
Energy relative to the lowest polymorph listed for this composition: 363.0 meV/atom
Formation enthalpy at 0 K: -8 meV per atom
Total magnetic moment: 0.000 μB per atom
DOS(E_F): 0.6240 states/eV/atom